A plane-wave DFT calculation with SCAN was carried out for Ba2TcPb at its PBEsol-relaxed geometry.

The structure belongs to space group Imm2 (No. 44); the cell edges are 3.8296, 5.6285 and 11.4094 Å and the angles 90.00°, 90.00° and 90.00°. The distinct sites, in fractional coordinates, are Ba at (0.0000, 0.0000, 0.0000), Ba at (0.0000, 0.5000, 0.1884), Tc at (0.0000, 0.0000, 0.4554) and Pb at (0.0000, 0.5000, 0.7911).

The total magnetic moment comes out at 0.00 μB per atom. As for the formation energy from the elements: 0.290 eV per atom. The uncorrected energy comes out at -377.57 eV per cell.

=====

A plane-wave DFT calculation with SCAN was carried out for BaTcPb2 at its PBEsol-relaxed geometry.

The structure belongs to space group P4/mmm (No. 123); the cell edges are 4.6951, 4.6951 and 4.9267 Å and the angles 90.00°, 90.00° and 90.00°. The distinct sites, in fractional coordinates, are Ba at (0.0000, 0.0000, 0.0000), Tc at (0.5000, 0.5000, 0.0000) and Pb at (0.0000, 0.5000, 0.5000).

The total magnetic moment comes out at 0.67 μB per atom. As for the formation energy from the elements: 0.480 eV per atom. The uncorrected energy comes out at -224.25 eV per cell.

=====

A plane-wave DFT calculation with SCAN was carried out for BaTcPb2 at its PBEsol-relaxed geometry.

The structure belongs to space group Immm (No. 71); the cell edges are 3.3090, 6.1194 and 10.8474 Å and the angles 90.00°, 90.00° and 90.00°. The distinct sites, in fractional coordinates, are Ba at (0.0000, 0.0000, 0.0000), Tc at (0.0000, 0.0000, 0.5000) and Pb at (0.0000, 0.5000, 0.2046).

The total magnetic moment comes out at 0.00 μB per atom. As for the formation energy from the elements: 0.260 eV per atom. The uncorrected energy comes out at -450.27 eV per cell.